Material: TmScTa2C4
Method: DFT, PBE
State: relaxed

Results
Size of the total moment (μB/cell): 0.02
Total DFT energy (no corrections) (eV/atom): -9.42
ρ (g/cm3): 10.56

Cell: 3.2665 3.2665 10.6194 Å, 90.00 90.00 120.00°
Closest atoms and distances in Å follow each position.
Fractional coordinates of all 8 atoms:
C 0.3333 0.6667 0.1430  3 Ta 2.24, 3 Tm 2.42, 1 C 2.43
C 0.3333 0.6667 0.3717  3 Ta 2.24, 3 Sc 2.33, 1 C 2.43
C 0.6667 0.3333 0.6283  3 Ta 2.24, 3 Sc 2.33, 1 C 2.43
C 0.6667 0.3333 0.8570  3 Ta 2.24, 3 Tm 2.42, 1 C 2.43
Sc 0.0000 0.0000 0.5000  6 C 2.33
Ta 0.6667 0.3333 0.2576  6 C 2.24
Ta 0.3333 0.6667 0.7424  6 C 2.24
Tm 0.0000 0.0000 0.0000  6 C 2.42